[1]
Computed, not measured: a relaxed structure of Ag3Cl2F2 at the PBE-GGA level of DFT.

DOS at the Fermi energy ... 0.89 states/eV/atom
Symmetry ... No. 2
Total DFT energy (no corrections) ... -21.26 eV per formula unit

Cell: 3.6338 6.6169 6.4826 Å, 110.78 89.75 106.35°
Last column: nearest neighbours and their distance in Å.
Element x y z (fractional)
Cl: 0.5845 0.1842 0.8152  4 Ag 2.60-2.70
Ag: 0.7932 0.5806 0.2920  3 F 2.35-2.48, 2 Cl 2.60-2.61
Ag: 0.0000 0.0000 0.0000  2 F 2.38, 2 Cl 2.64
F: 0.8255 0.6485 0.6944  4 Ag 2.35-2.48
F: 0.1745 0.3515 0.3056  4 Ag 2.35-2.48
Cl: 0.4155 0.8158 0.1848  4 Ag 2.60-2.70
Ag: 0.2068 0.4194 0.7080  3 F 2.35-2.48, 2 Cl 2.60-2.61



[2]
Computed, not measured: a relaxed structure of Li2Al2Ga3 at the PBE-GGA level of DFT.

Calculated formation energy ... -0.091 eV/atom
DOS at the Fermi energy ... 0.29 states/eV/atom
Symmetry ... No. 2

Cell: 4.7514 6.5792 4.6511 Å, 71.97 97.15 117.94°
Last column: nearest neighbours and their distance in Å.
Element x y z (fractional)
Li: 0.6327 0.2347 0.8236  6 Ga 2.67-2.95, 1 Li 2.75, 2 Al 2.87-2.98
Li: 0.3673 0.7653 0.1764  6 Ga 2.67-2.95, 1 Li 2.75, 2 Al 2.87-2.98
Ga: 0.0000 0.0000 0.0000  4 Al 2.67-2.77, 4 Li 2.74-2.75, 2 Ga 2.92
Al: 0.0044 0.2265 0.3896  5 Ga 2.67-2.85, 1 Al 2.82, 2 Li 2.87-2.98
Ga: 0.3315 0.5218 0.7603  1 Ga 2.60, 3 Li 2.67-2.81, 3 Al 2.69-2.85
Ga: 0.6685 0.4782 0.2397  1 Ga 2.60, 3 Li 2.67-2.81, 3 Al 2.69-2.85
Al: 0.9956 0.7735 0.6104  5 Ga 2.67-2.85, 1 Al 2.82, 2 Li 2.87-2.98



[3]
Computed, not measured: a relaxed structure of La3AuC at the PBE-GGA level of DFT.

Calculated formation energy ... -0.349 eV/atom
DOS at the Fermi energy ... 0.86 states/eV/atom
Symmetry ... No. 12

Cell: 17.6900 10.0784 10.0784 Å, 112.94 142.30 37.70°
Last column: nearest neighbours and their distance in Å.
Element x y z (fractional)
La: 0.7498 0.7728 0.4775  1 C 2.48
C: 0.2500 0.8751 0.8751  2 La 2.48
La: 0.7500 0.3751 0.3751  4 C 2.78-2.79
Au: 0.2500 0.8748 0.3748  8 La 3.27-3.28
La: 0.2500 0.1249 0.1249  4 C 2.78-2.79
Au: 0.2500 0.3747 0.8747  8 La 3.27-3.28
La: 0.2498 0.5226 0.2272  1 C 2.48
La: 0.7498 0.2728 0.9774  1 C 2.48
La: 0.7500 0.8751 0.8751  4 C 2.78-2.79
La: 0.2498 0.0225 0.7272  1 C 2.48
C: 0.2500 0.3751 0.3751  2 La 2.48
Au: 0.7500 0.6253 0.1253  8 La 3.27-3.28
La: 0.2502 0.7272 0.0226  1 C 2.48
C: 0.7500 0.1249 0.1249  2 La 2.48
La: 0.7502 0.9775 0.2728  1 C 2.48
La: 0.7502 0.4774 0.7728  1 C 2.48
La: 0.2500 0.6249 0.6249  4 C 2.78-2.79
C: 0.7500 0.6249 0.6249  2 La 2.48
La: 0.2502 0.2272 0.5225  1 C 2.48
Au: 0.7500 0.1252 0.6252  8 La 3.27-3.28



[4]
Computed, not measured: a relaxed structure of InGeOF2 at the PBE-GGA level of DFT.

DOS at the Fermi energy ... 0.10 states/eV/atom
Symmetry ... No. 123
Total DFT energy (no corrections) ... -23.56 eV per formula unit

Cell: 4.4677 4.4677 3.7914 Å, 90.00 90.00 90.00°
Last column: nearest neighbours and their distance in Å.
Element x y z (fractional)
In: 0.5000 0.5000 0.5000  8 F 2.93, 4 O 3.16
O: 0.0000 0.0000 0.5000  2 Ge 1.90
Ge: 0.0000 0.0000 0.0000  2 O 1.90
F: 0.5000 0.0000 0.0000  2 Ge 2.23
F: 0.0000 0.5000 0.0000  2 Ge 2.23



[5]
Computed, not measured: a relaxed structure of Ac3AlPb3 at the PBE-GGA level of DFT.

Calculated formation energy ... -0.287 eV/atom
DOS at the Fermi energy ... 0.28 states/eV/atom
Symmetry ... No. 176

Cell: 6.8658 9.7669 9.7669 Å, 120.00 90.00 90.00°
Last column: nearest neighbours and their distance in Å.
Element x y z (fractional)
Ac: 0.2500 0.6163 0.9287  5 Pb 3.32-3.44
Al: 0.7500 0.3333 0.6667  3 Pb 2.81
Pb: 0.7500 0.2901 0.3602  1 Al 2.81
Ac: 0.7500 0.9287 0.3124  5 Pb 3.32-3.44
Ac: 0.2500 0.0713 0.6876  5 Pb 3.32-3.44
Al: 0.2500 0.6667 0.3333  3 Pb 2.81
Ac: 0.7500 0.3837 0.0713  5 Pb 3.32-3.44
Pb: 0.7500 0.0701 0.7099  1 Al 2.81
Pb: 0.2500 0.7099 0.6398  1 Al 2.81
Pb: 0.2500 0.9299 0.2901  1 Al 2.81
Ac: 0.7500 0.6876 0.6163  5 Pb 3.32-3.44
Ac: 0.2500 0.3124 0.3837  5 Pb 3.32-3.44
Pb: 0.7500 0.6398 0.9299  1 Al 2.81
Pb: 0.2500 0.3602 0.0701  1 Al 2.81



[6]
Computed, not measured: a relaxed structure of Li3Ti2Pd4 at the PBE-GGA level of DFT.

Calculated formation energy ... -0.458 eV/atom
DOS at the Fermi energy ... 0.50 states/eV/atom
Symmetry ... No. 164

Cell: 4.3067 4.3074 8.2535 Å, 89.97 90.00 60.00°
Last column: nearest neighbours and their distance in Å.
Element x y z (fractional)
Li: 0.0000 0.0000 0.0000  8 Pd 2.65-2.70
Pd: 0.0003 0.9994 0.3275  4 Li 2.66-2.70, 3 Ti 2.66, 1 Pd 2.85
Pd: 0.3335 0.3330 0.1114  4 Ti 2.62-2.67, 4 Li 2.65-2.74
Li: 0.3336 0.3329 0.4430  3 Li 2.66, 4 Pd 2.66-2.74, 1 Ti 2.85
Ti: 0.3331 0.3338 0.7882  7 Pd 2.62-2.67, 1 Li 2.85
Ti: 0.6669 0.6662 0.2118  7 Pd 2.62-2.67, 1 Li 2.85
Li: 0.6664 0.6671 0.5570  3 Li 2.66, 4 Pd 2.66-2.74, 1 Ti 2.85
Pd: 0.9997 0.0006 0.6725  4 Li 2.66-2.70, 3 Ti 2.66, 1 Pd 2.85
Pd: 0.6665 0.6670 0.8886  4 Ti 2.62-2.67, 4 Li 2.65-2.74



[7]
Computed, not measured: a relaxed structure of Tb7Zn2Ru2 at the PBE-GGA level of DFT.

Calculated formation energy ... -0.174 eV/atom
DOS at the Fermi energy ... 0.82 states/eV/atom
Symmetry ... No. 65

Cell: 6.6497 7.1255 6.6497 Å, 90.00 110.73 90.00°
Last column: nearest neighbours and their distance in Å.
Element x y z (fractional)
Ru: 0.3010 0.0000 0.6990  6 Tb 2.72-2.82
Tb: 0.5000 0.2505 0.5000  2 Ru 2.82, 2 Zn 3.08
Tb: 0.5000 0.7367 0.0000  2 Ru 2.72
Zn: 0.1668 0.5000 0.1668  1 Zn 2.52
Zn: 0.8332 0.5000 0.8332  1 Zn 2.52
Tb: 0.0000 0.0000 0.0000  2 Ru 3.29
Ru: 0.6990 0.0000 0.3010  6 Tb 2.72-2.82
Tb: 0.5000 0.2633 0.0000  2 Ru 2.72
Tb: 0.0000 0.7367 0.5000  2 Ru 2.72
Tb: 0.0000 0.2633 0.5000  2 Ru 2.72
Tb: 0.5000 0.7495 0.5000  2 Ru 2.82, 2 Zn 3.08



[8]
Computed, not measured: a relaxed structure of SiOs2O at the PBE-GGA level of DFT.

DOS at the Fermi energy ... 0.73 states/eV/atom
Symmetry ... No. 225
Total DFT energy (no corrections) ... -31.54 eV per formula unit

Cell: 4.0897 4.0897 4.0897 Å, 60.00 60.00 60.00°
Last column: nearest neighbours and their distance in Å.
Element x y z (fractional)
Si: 0.5000 0.5000 0.5000  8 Os 2.50
O: 0.0000 0.0000 0.0000  8 Os 2.50
Os: 0.7500 0.7500 0.7500  4 O 2.50, 4 Si 2.50
Os: 0.2500 0.2500 0.2500  4 Si 2.50, 4 O 2.50



[9]
Computed, not measured: a relaxed structure of TbZrTc at the PBE-GGA level of DFT.

Calculated formation energy ... -0.043 eV/atom
DOS at the Fermi energy ... 0.73 states/eV/atom
Symmetry ... No. 166

Cell: 4.6893 4.6893 7.9123 Å, 72.76 72.76 60.00°
Last column: nearest neighbours and their distance in Å.
Element x y z (fractional)
Tc: 0.9446 0.9446 0.1663  1 Tc 2.47, 3 Zr 2.74
Tb: 0.7886 0.7886 0.6341  3 Tc 3.09, 3 Zr 3.31, 3 Tb 3.36
Tb: 0.2114 0.2114 0.3659  3 Tc 3.09, 3 Zr 3.31, 3 Tb 3.36
Zr: 0.3699 0.3699 0.8904  3 Tc 2.74
Tc: 0.0554 0.0554 0.8337  1 Tc 2.47, 3 Zr 2.74
Zr: 0.6301 0.6301 0.1096  3 Tc 2.74



[10]
Computed, not measured: a relaxed structure of Na4CeDy3S8 at the PBE-GGA level of DFT.

DOS at the Fermi energy ... 0.30 states/eV/atom
Symmetry ... No. 166
Total DFT energy (no corrections) ... -87.08 eV per formula unit

Cell: 8.0516 8.1338 8.0518 Å, 119.68 120.00 90.00°
Last column: nearest neighbours and their distance in Å.
Element x y z (fractional)
Na: 0.0000 0.0000 0.5000  6 S 2.96-2.97
S: 0.7534 0.2712 0.5068  2 Dy 2.76, 1 Ce 2.82, 3 Na 2.91-2.97
S: 0.2466 0.7288 0.4932  2 Dy 2.76, 1 Ce 2.82, 3 Na 2.91-2.97
Dy: 0.5000 0.5000 0.5000  6 S 2.76-2.77
S: 0.2466 0.7288 0.9824  2 Dy 2.76, 1 Ce 2.82, 3 Na 2.91-2.97
S: 0.2642 0.2712 0.0176  2 Dy 2.76, 1 Ce 2.82, 3 Na 2.91-2.97
Na: 0.5000 0.0000 0.0000  6 S 2.91
S: 0.2579 0.2739 0.5158  3 Dy 2.77, 3 Na 2.96
S: 0.7421 0.7261 0.4842  3 Dy 2.77, 3 Na 2.96
Ce: 0.0000 0.5000 0.0000  6 S 2.82
S: 0.7534 0.2712 0.0176  2 Dy 2.76, 1 Ce 2.82, 3 Na 2.91-2.97
S: 0.7358 0.7288 0.9824  2 Dy 2.76, 1 Ce 2.82, 3 Na 2.91-2.97
Dy: 0.0000 0.5000 0.5000  6 S 2.76-2.77
Na: 0.5000 0.0000 0.5000  6 S 2.96-2.97
Na: 0.0000 0.0000 0.0000  6 S 2.96-2.97
Dy: 0.5000 0.5000 0.0000  6 S 2.76-2.77



[11]
Computed, not measured: a relaxed structure of Li2ZnSb at the PBE-GGA level of DFT.

DOS at the Fermi energy ... 0.40 states/eV/atom
Symmetry ... No. 10
Total DFT energy (no corrections) ... -10.28 eV per formula unit

Cell: 4.1694 3.0740 6.6568 Å, 60.89 90.00 90.00°
Last column: nearest neighbours and their distance in Å.
Element x y z (fractional)
Sb: 0.5000 0.2500 0.2500  2 Zn 2.91, 8 Li 2.95-3.00, 2 Sb 3.07
Li: 0.0000 0.9995 0.9975  4 Li 2.88-3.07, 4 Zn 2.95-2.98, 4 Sb 2.95-3.00
Zn: 0.5000 0.7500 0.7500  2 Sb 2.91, 8 Li 2.95-2.98, 2 Zn 3.07
Li: 0.0000 0.5005 0.5025  4 Li 2.88-3.07, 4 Zn 2.95-2.98, 4 Sb 2.95-3.00



[12]
Computed, not measured: a relaxed structure of AcNd5Tl6 at the PBE-GGA level of DFT.

Calculated formation energy ... -0.374 eV/atom
DOS at the Fermi energy ... 0.91 states/eV/atom
Symmetry ... No. 10

Cell: 5.6022 7.8338 8.8858 Å, 90.00 108.75 90.00°
Last column: nearest neighbours and their distance in Å.
Element x y z (fractional)
Nd: 0.6641 0.5000 0.3277  8 Tl 3.35-3.39
Tl: 0.8288 0.2567 0.6586  7 Nd 3.37-3.45, 1 Ac 3.51
Nd: 0.0000 0.5000 0.0000  8 Tl 3.39-3.45
Tl: 0.5000 0.7428 0.0000  6 Nd 3.35-3.47, 2 Ac 3.45
Nd: 0.3359 0.5000 0.6723  8 Tl 3.35-3.39
Tl: 0.8288 0.7433 0.6586  7 Nd 3.37-3.45, 1 Ac 3.51
Nd: 0.6680 0.0000 0.3354  8 Tl 3.38-3.47
Nd: 0.3320 0.0000 0.6646  8 Tl 3.38-3.47
Ac: 0.0000 0.0000 0.0000  8 Tl 3.45-3.51
Tl: 0.1712 0.2567 0.3414  7 Nd 3.37-3.45, 1 Ac 3.51
Tl: 0.5000 0.2572 0.0000  6 Nd 3.35-3.47, 2 Ac 3.45
Tl: 0.1712 0.7433 0.3414  7 Nd 3.37-3.45, 1 Ac 3.51